No. 1
Material: NpMn2
Method: DFT, GGA-PBE
State: optimized geometry

Output
* energy of formation: 109 meV/atom
* symmetry: Fd-3m (227)

abc: 5.0197 5.0197 5.0197
angles: 60.00 60.00 60.00
With the nearest neighbours (Å) after each atom.
Element x y z (fractional)
1 Np 0.0000 0.0000 0.0000  12 Mn 2.94, 4 Np 3.07
2 Np 0.2500 0.2500 0.2500  12 Mn 2.94, 4 Np 3.07
3 Mn 0.1250 0.6250 0.6250  6 Mn 2.51
4 Mn 0.6250 0.1250 0.6250  6 Mn 2.51
5 Mn 0.6250 0.6250 0.6250  6 Mn 2.51
6 Mn 0.6250 0.6250 0.1250  6 Mn 2.51

---

No. 2
Material: GdHg2Au
Method: DFT, GGA-PBE
State: optimized geometry

Output
* energy of formation: -405 meV/atom
* symmetry: P4/mmm (123)

abc: 4.9050 4.4034 4.4034
angles: 90.00 90.00 90.00
With the nearest neighbours (Å) after each atom.
Element x y z (fractional)
1 Gd 0.5000 0.5000 0.5000  4 Au 3.11, 8 Hg 3.30
2 Au 0.5000 0.0000 0.0000  4 Gd 3.11, 8 Hg 3.30
3 Hg 0.0000 0.0000 0.5000  4 Hg 3.11, 4 Gd 3.30, 4 Au 3.30
4 Hg 0.0000 0.5000 0.0000  4 Hg 3.11, 4 Gd 3.30, 4 Au 3.30

---

No. 3
Material: ReAs2Ru
Method: DFT, GGA-PBE
State: optimized geometry

Output
* energy of formation: 509 meV/atom
* symmetry: Immm (71)
* offset from the most stable computed form: 484 meV per atom

abc: 5.0349 5.0349 5.0349
angles: 145.32 117.36 73.62
With the nearest neighbours (Å) after each atom.
Element x y z (fractional)
1 Re 0.7500 0.2500 0.5000  4 As 2.53
2 As 0.0025 0.0025 0.0000  2 Ru 2.50, 2 Re 2.53
3 As 0.4975 0.4975 0.0000  2 Ru 2.50, 2 Re 2.53
4 Ru 0.2500 0.7500 0.5000  4 As 2.50

---

No. 4
Material: NpBeB2O6
Method: DFT, GGA-PBE
State: optimized geometry

Output
* symmetry: R-3 (148)
* formation energy without anion corrections: -56.8 kcal/mol of atoms

abc: 4.6836 4.6836 5.7541
angles: 65.98 65.98 60.00
With the nearest neighbours (Å) after each atom.
Element x y z (fractional)
1 Np 0.0000 0.0000 0.0000  6 O 2.29
2 Be 0.5000 0.5000 0.5000  6 O 1.90
3 B 0.7633 0.7633 0.7101  3 O 1.39
4 B 0.2367 0.2367 0.2899  3 O 1.39
5 O 0.0741 0.4876 0.7220  1 B 1.39
6 O 0.7162 0.0741 0.7220  1 B 1.39
7 O 0.5124 0.2838 0.2780  1 B 1.39
8 O 0.9259 0.5124 0.2780  1 B 1.39
9 O 0.2838 0.9259 0.2780  1 B 1.39
10 O 0.4876 0.7162 0.7220  1 B 1.39

---

No. 5
Material: LiIN2F
Method: DFT, GGA-PBE
State: optimized geometry

Output
* symmetry: P4/mmm (123)
* offset from the most stable computed form: 261 meV per atom
* formation energy without anion corrections: 22.9 kcal/mol of atoms

abc: 4.0801 4.0801 3.4529
angles: 90.00 90.00 90.00
With the nearest neighbours (Å) after each atom.
Element x y z (fractional)
1 I 0.5000 0.5000 0.5000  8 N 2.67, 4 F 2.89
2 N 0.0000 0.5000 0.0000  2 Li 2.04
3 N 0.5000 0.0000 0.0000  2 Li 2.04
4 Li 0.0000 0.0000 0.0000  2 F 1.73
5 F 0.0000 0.0000 0.5000  2 Li 1.73

---

No. 6
Material: Pm3BiPO
Method: DFT, GGA-PBE
State: optimized geometry

Output
* symmetry: P2_1/m (11)
* formation energy without anion corrections: -40.8 kcal/mol of atoms

abc: 4.1929 8.8419 9.1720
angles: 102.86 90.00 90.00
With the nearest neighbours (Å) after each atom.
Element x y z (fractional)
1 Pm 0.2500 0.8301 0.4765  3 O 2.29-2.34
2 Pm 0.7500 0.8824 0.1491  1 O 2.34
3 Pm 0.7500 0.4318 0.1563  3 P 2.83-2.89
4 Pm 0.7500 0.1699 0.5235  3 O 2.29-2.34
5 Pm 0.2500 0.5682 0.8437  3 P 2.83-2.89
6 Pm 0.2500 0.1176 0.8509  1 O 2.34
7 Bi 0.7500 0.8196 0.7720  7 Pm 3.23-3.44, 1 O 3.60
8 Bi 0.2500 0.1804 0.2280  7 Pm 3.23-3.44, 1 O 3.60
9 P 0.2500 0.6580 0.1600  6 Pm 2.83-2.96
10 P 0.7500 0.3420 0.8400  6 Pm 2.83-2.96
11 O 0.2500 0.0887 0.5910  4 Pm 2.29-2.34
12 O 0.7500 0.9113 0.4090  4 Pm 2.29-2.34

---

No. 7
Material: HfBPRhCl
Method: DFT, GGA-PBE
State: optimized geometry

Output
* symmetry: Pm (6)
* offset from the most stable computed form: 94 meV per atom
* formation energy without anion corrections: -12.5 kcal/mol of atoms

abc: 3.2387 3.7305 8.2034
angles: 90.00 96.95 90.00
With the nearest neighbours (Å) after each atom.
Element x y z (fractional)
1 Rh 0.8978 0.5000 0.6442  1 B 2.09
2 B 0.9461 0.5000 0.9003  2 P 1.98, 1 Rh 2.09
3 Hf 0.4144 0.0000 0.7894  4 B 2.63, 4 Rh 2.69-2.79, 1 Cl 2.71, 2 P 2.77
4 P 0.4890 0.5000 0.0404  2 B 1.98
5 Cl 0.1265 0.0000 0.4652  2 Rh 2.54, 1 Hf 2.71

---

No. 8
Material: FePb3Cl
Method: DFT, GGA-PBE
State: optimized geometry

Output
* symmetry: Pm-3m (221)
* offset from the most stable computed form: 874 meV per atom
* formation energy without anion corrections: 19.0 kcal/mol of atoms

abc: 5.4855 5.4855 5.4855
angles: 90.00 90.00 90.00
With the nearest neighbours (Å) after each atom.
Element x y z (fractional)
1 Pb 0.0000 0.5000 0.0000  2 Cl 2.74
2 Pb 0.0000 0.0000 0.5000  2 Cl 2.74
3 Pb 0.5000 0.0000 0.0000  2 Cl 2.74
4 Fe 0.5000 0.5000 0.5000  12 Pb 3.88
5 Cl 0.0000 0.0000 0.0000  6 Pb 2.74

---

No. 9
Material: LiAlRhW2
Method: DFT, GGA-PBE
State: optimized geometry

Output
* energy of formation: 1083 meV/atom
* symmetry: P4/mmm (123)

abc: 4.1692 4.2729 4.1692
angles: 90.00 90.00 90.00
With the nearest neighbours (Å) after each atom.
Element x y z (fractional)
1 Rh 0.0000 0.5000 0.0000  2 Li 2.14
2 Al 0.5000 0.5000 0.5000  4 Rh 2.95, 8 W 2.98
3 W 0.0000 0.0000 0.5000  2 Li 2.08
4 W 0.5000 0.0000 0.0000  2 Li 2.08
5 Li 0.0000 0.0000 0.0000  4 W 2.08, 2 Rh 2.14

---

No. 10
Material: Na2H2N
Method: DFT, GGA-PBE
State: optimized geometry

Output
* symmetry: I4_1/amd (141)
* calculated total energy: -3.2964 eV per atom

abc: 2.8108 2.8108 14.5979
angles: 95.52 95.52 90.00
With the nearest neighbours (Å) after each atom.
Element x y z (fractional)
1 Na 0.8199 0.8199 0.6399  1 H 2.19
2 Na 0.5699 0.0699 0.1399  1 H 2.19
3 Na 0.9301 0.4301 0.8601  1 H 2.19
4 Na 0.1801 0.1801 0.3601  1 H 2.19
5 H 0.4943 0.9943 0.9886  2 N 1.42
6 H 0.7443 0.7443 0.4886  2 N 1.42
7 H 0.2557 0.2557 0.5114  2 N 1.42
8 H 0.0057 0.5057 0.0114  2 N 1.42
9 N 0.5000 0.5000 0.0000  4 H 1.42
10 N 0.2500 0.7500 0.5000  4 H 1.42

---

No. 11
Material: NdSiIr
Method: DFT, GGA-PBE
State: optimized geometry

Output
* symmetry: P-6m2 (187)
* formation energy without anion corrections: -19.9 kcal/mol of atoms

abc: 4.3557 4.1221 4.1221
angles: 120.00 90.00 90.00
With the nearest neighbours (Å) after each atom.
Element x y z (fractional)
1 Si 0.1665 0.6667 0.3333  3 Ir 2.38
2 Ir 0.1670 0.0000 0.0000  3 Si 2.38
3 Nd 0.6665 0.3333 0.6667  6 Ir 3.22-3.23, 6 Si 3.23

---

No. 12
Material: YTa4Tl
Method: DFT, GGA-PBE
State: optimized geometry

Output
* energy of formation: 339 meV/atom
* symmetry: F-43m (216)

abc: 5.6732 5.6732 5.6732
angles: 60.00 60.00 60.00
With the nearest neighbours (Å) after each atom.
Element x y z (fractional)
1 Y 0.0000 0.0000 0.0000  12 Ta 3.32, 4 Tl 3.47
2 Ta 0.8828 0.3724 0.3724  6 Ta 2.78-2.90
3 Ta 0.3724 0.3724 0.8828  6 Ta 2.78-2.90
4 Ta 0.3724 0.8828 0.3724  6 Ta 2.78-2.90
5 Ta 0.3724 0.3724 0.3724  6 Ta 2.78-2.90
6 Tl 0.7500 0.7500 0.7500  12 Ta 3.33, 4 Y 3.47

---

No. 13
Material: AcDyTmAg
Method: DFT, GGA-PBE
State: optimized geometry

Output
* energy of formation: 188 meV/atom
* symmetry: F-43m (216)

abc: 5.5368 5.5368 5.5368
angles: 60.00 60.00 60.00
With the nearest neighbours (Å) after each atom.
Element x y z (fractional)
1 Ac 0.7500 0.7500 0.7500  4 Tm 3.39, 4 Dy 3.39
2 Tm 0.0000 0.0000 0.0000  4 Ac 3.39, 4 Ag 3.39
3 Ag 0.2500 0.2500 0.2500  4 Dy 3.39, 4 Tm 3.39
4 Dy 0.5000 0.5000 0.5000  4 Ag 3.39, 4 Ac 3.39

---

No. 14
Material: Ac4InCu
Method: DFT, GGA-PBE
State: optimized geometry

Output
* energy of formation: -135 meV/atom
* symmetry: P2_1/m (11)
* offset from the most stable computed form: 0 meV per atom

abc: 6.0682 7.8164 10.0804
angles: 90.00 115.64 90.00
With the nearest neighbours (Å) after each atom.
Element x y z (fractional)
1 Ac 0.5713 0.2500 0.4514  2 Cu 3.01-3.29
2 Ac 0.4287 0.7500 0.5486  2 Cu 3.01-3.29
3 Ac 0.6694 0.2500 0.8721  1 Cu 3.41, 2 In 3.52-3.61, 2 Ac 3.77
4 Ac 0.3306 0.7500 0.1279  1 Cu 3.41, 2 In 3.52-3.61, 2 Ac 3.77
5 Ac 0.9064 0.0125 0.2475  2 Cu 3.09-3.28
6 Ac 0.0936 0.5125 0.7525  2 Cu 3.09-3.28
7 Ac 0.9064 0.4875 0.2475  2 Cu 3.09-3.28
8 Ac 0.0936 0.9875 0.7525  2 Cu 3.09-3.28
9 In 0.3088 0.2500 0.0784  7 Ac 3.39-3.76
10 In 0.6912 0.7500 0.9216  7 Ac 3.39-3.76
11 Cu 0.1610 0.2500 0.5432  6 Ac 3.01-3.29
12 Cu 0.8390 0.7500 0.4568  6 Ac 3.01-3.29

---

No. 15
Material: LaSiIr2Se
Method: DFT, GGA-PBE
State: optimized geometry

Output
* symmetry: P4/mmm (123)
* formation energy without anion corrections: 13.1 kcal/mol of atoms

abc: 4.6223 5.5667 4.6223
angles: 90.00 90.00 90.00
With the nearest neighbours (Å) after each atom.
Element x y z (fractional)
1 Si 0.5000 0.5000 0.5000  4 La 3.27, 8 Ir 3.62
2 Ir 0.0000 0.0000 0.5000  2 Se 2.31
3 Ir 0.5000 0.0000 0.0000  2 Se 2.31
4 Se 0.0000 0.0000 0.0000  4 Ir 2.31
5 La 0.0000 0.5000 0.0000  2 Se 2.78

---

No. 16
Material: Fe4AgP
Method: DFT, GGA-PBE
State: optimized geometry

Output
* energy of formation: 403 meV/atom
* symmetry: F-43m (216)

abc: 4.8249 4.8249 4.8249
angles: 60.00 60.00 60.00
With the nearest neighbours (Å) after each atom.
Element x y z (fractional)
1 Fe 0.8740 0.3753 0.3753  6 Fe 2.41-2.42
2 Fe 0.3753 0.3753 0.8740  6 Fe 2.41-2.42
3 Fe 0.3753 0.8740 0.3753  6 Fe 2.41-2.42
4 Fe 0.3753 0.3753 0.3753  6 Fe 2.41-2.42
5 Ag 0.0000 0.0000 0.0000  12 Fe 2.83, 4 P 2.95
6 P 0.7500 0.7500 0.7500  12 Fe 2.83, 4 Ag 2.95

---

No. 17
Material: MgReSb2
Method: DFT, GGA-PBE
State: optimized geometry

Output
* symmetry: I-42d (122)
* formation energy without anion corrections: 13.3 kcal/mol of atoms

abc: 6.4152 6.4152 7.6055
angles: 65.06 65.06 90.00
With the nearest neighbours (Å) after each atom.
Element x y z (fractional)
1 Re 0.0000 0.0000 0.0000  4 Sb 2.58
2 Re 0.7500 0.2500 0.5000  4 Sb 2.58
3 Mg 0.5000 0.5000 0.0000  4 Sb 2.91
4 Mg 0.2500 0.7500 0.5000  4 Sb 2.91
5 Sb 0.6686 0.1250 0.2500  2 Re 2.58
6 Sb 0.0814 0.6250 0.2500  2 Re 2.58
7 Sb 0.3750 0.3314 0.7500  2 Re 2.58
8 Sb 0.8750 0.9186 0.7500  2 Re 2.58

---

No. 18
Material: VCrCl
Method: DFT, GGA-PBE
State: optimized geometry

Output
* symmetry: Pbcm (57)
* formation energy without anion corrections: -3.2 kcal/mol of atoms

abc: 3.0560 9.0538 8.8645
angles: 90.00 90.00 90.00
With the nearest neighbours (Å) after each atom.
Element x y z (fractional)
1 Cr 0.0765 0.1484 0.1456  1 Cl 2.27, 2 V 2.33, 2 Cr 2.39
2 Cr 0.5765 0.8516 0.8544  1 Cl 2.27, 2 V 2.33, 2 Cr 2.39
3 Cr 0.0765 0.6484 0.8544  1 Cl 2.27, 2 V 2.33, 2 Cr 2.39
4 Cr 0.5765 0.3516 0.1456  1 Cl 2.27, 2 V 2.33, 2 Cr 2.39
5 Cl 0.0759 0.9547 0.3084  1 Cr 2.27, 1 V 2.38
6 Cl 0.5759 0.0453 0.6916  1 Cr 2.27, 1 V 2.38
7 Cl 0.0759 0.4547 0.6916  1 Cr 2.27, 1 V 2.38
8 Cl 0.5759 0.5453 0.3084  1 Cr 2.27, 1 V 2.38
9 V 0.0766 0.3781 0.9486  3 Cr 2.33-2.59, 1 Cl 2.38
10 V 0.5766 0.6219 0.0514  3 Cr 2.33-2.59, 1 Cl 2.38
11 V 0.0766 0.8781 0.0514  3 Cr 2.33-2.59, 1 Cl 2.38
12 V 0.5766 0.1219 0.9486  3 Cr 2.33-2.59, 1 Cl 2.38

---

No. 19
Material: Y3ScAs
Method: DFT, GGA-PBE
State: optimized geometry

Output
* energy of formation: 666 meV/atom
* symmetry: Pm-3m (221)
* offset from the most stable computed form: 925 meV per atom

abc: 5.3741 5.3741 5.3741
angles: 90.00 90.00 90.00
With the nearest neighbours (Å) after each atom.
Element x y z (fractional)
1 Y 0.0000 0.5000 0.0000  2 Sc 2.69
2 Y 0.0000 0.0000 0.5000  2 Sc 2.69
3 Y 0.5000 0.0000 0.0000  2 Sc 2.69
4 Sc 0.0000 0.0000 0.0000  6 Y 2.69
5 As 0.5000 0.5000 0.5000  12 Y 3.80

---

No. 20
Material: GeI2Br
Method: DFT, GGA-PBE
State: optimized geometry

Output
* symmetry: Fm-3m (225)
* offset from the most stable computed form: 213 meV per atom
* formation energy without anion corrections: 6.0 kcal/mol of atoms

abc: 5.4990 5.4990 5.4990
angles: 60.00 60.00 60.00
With the nearest neighbours (Å) after each atom.
Element x y z (fractional)
1 I 0.2500 0.2500 0.2500  4 Br 3.37, 4 Ge 3.37
2 I 0.7500 0.7500 0.7500  4 Ge 3.37, 4 Br 3.37
3 Ge 0.0000 0.0000 0.0000  8 I 3.37
4 Br 0.5000 0.5000 0.5000  8 I 3.37